# 1
This record from the Alexandria database describes crystalline V3PdPt4 at its relaxed geometry. The functional is PBE.

Structure (POSCAR):
```
V3PdPt4
1.0
3.919 0.000 0.000
0.000 3.863 0.000
0.000 0.000 7.706
Pt Pd V
4 1 3
Direct
0.000 0.000 0.500
0.000 0.500 0.745
0.000 0.000 0.000
0.000 0.500 0.255
0.500 0.500 0.000
0.500 0.000 0.261
0.500 0.500 0.500
0.500 0.000 0.739
```

Summary:
* crystal system: orthorhombic
* raw total energy: -7.563 eV/atom

# 2
This record from the Alexandria database describes crystalline V6PdPt10 at its relaxed geometry. The functional is PBE.

Structure (POSCAR):
```
V6PdPt10
1.0
-2.860 -0.502 4.510
5.039 -4.866 2.653
0.809 7.328 1.329
V Pd Pt
6 1 10
Direct
0.697 0.370 0.370
0.697 0.000 0.630
0.697 0.630 0.000
0.303 0.630 0.630
0.303 0.000 0.370
0.303 0.370 0.000
0.500 0.000 0.000
0.818 0.715 0.715
0.818 0.000 0.285
0.818 0.285 0.000
0.182 0.285 0.285
0.182 0.000 0.715
0.182 0.715 0.000
0.500 0.333 0.667
0.500 0.667 0.333
0.000 0.667 0.333
0.000 0.333 0.667
```

Summary:
* crystal system: trigonal
* raw total energy: -7.396 eV/atom

# 3
This record from the Alexandria database describes crystalline V6PdPt8 at its relaxed geometry. The functional is PBE.

Structure (POSCAR):
```
V6PdPt8
1.0
7.202 0.000 0.000
3.601 6.237 0.000
3.601 2.079 5.233
V Pd Pt
6 1 8
Direct
0.393 0.076 0.871
0.924 0.341 0.129
0.341 0.607 0.129
0.659 0.393 0.871
0.076 0.659 0.871
0.607 0.924 0.129
0.000 0.000 0.000
0.593 0.184 0.365
0.816 0.142 0.635
0.142 0.407 0.635
0.735 0.735 0.795
0.265 0.265 0.205
0.858 0.593 0.365
0.184 0.858 0.365
0.407 0.816 0.635
```

Summary:
* crystal system: trigonal
* raw total energy: -7.529 eV/atom

# 4
This record from the Alexandria database describes crystalline V3Pd2Pt7 at its relaxed geometry. The functional is PBE.

Structure (POSCAR):
```
V3Pd2Pt7
1.0
-0.269 -1.650 -2.194
0.534 -3.781 2.778
-14.646 3.955 -1.181
V Pd Pt
3 2 7
Direct
0.500 0.500 0.000
0.000 0.024 0.309
0.000 0.976 0.691
0.500 0.573 0.342
0.500 0.427 0.658
0.500 0.201 0.457
0.500 0.799 0.543
0.000 0.528 0.161
0.000 0.000 0.000
0.000 0.472 0.839
0.500 0.969 0.836
0.500 0.031 0.164
```

Summary:
* crystal system: monoclinic
* raw total energy: -6.972 eV/atom

# 5
This record from the Alexandria database describes crystalline V3Pd3Pt5 at its relaxed geometry. The functional is PBE.

Structure (POSCAR):
```
V3Pd3Pt5
1.0
2.728 0.000 0.000
0.000 7.530 -4.348
0.000 0.000 8.695
V Pd Pt
3 3 5
Direct
0.000 0.582 0.000
0.000 0.000 0.582
0.000 0.418 0.418
0.500 0.822 0.000
0.500 0.178 0.178
0.500 0.000 0.822
0.500 0.667 0.333
0.500 0.333 0.667
0.500 0.346 0.000
0.500 0.654 0.654
0.500 0.000 0.346
```

Summary:
* crystal system: hexagonal
* raw total energy: -6.643 eV/atom

# 6
This record from the Alexandria database describes crystalline V2PdPt2 at its relaxed geometry. The functional is PBE.

Structure (POSCAR):
```
V2PdPt2
1.0
-0.794 1.340 4.014
-3.252 -0.558 -2.766
-0.941 -9.801 3.085
V Pd Pt
4 2 4
Direct
0.667 0.333 0.378
0.333 0.667 0.878
0.333 0.667 0.622
0.667 0.333 0.122
0.000 0.000 0.750
0.000 0.000 0.250
0.333 0.667 0.250
0.000 0.000 0.000
0.000 0.000 0.500
0.667 0.333 0.750
```

Summary:
* energy relative to the lowest polymorph listed for this composition: 480 meV/atom
* crystal system: hexagonal

# 7
This record from the Alexandria database describes crystalline V4Pd5Pt at its relaxed geometry. The functional is PBE.

Structure (POSCAR):
```
V4Pd5Pt
1.0
2.756 0.000 0.000
0.000 7.719 0.039
-1.378 -1.933 6.857
V Pd Pt
4 5 1
Direct
0.694 0.109 0.388
0.104 0.294 0.207
0.306 0.891 0.612
0.896 0.706 0.793
0.298 0.398 0.595
0.108 0.811 0.215
0.892 0.189 0.785
0.500 0.500 0.000
0.702 0.602 0.405
0.500 0.000 0.000
```

Summary:
* crystal system: monoclinic
* raw total energy: -7.032 eV/atom

# 8
This record from the Alexandria database describes crystalline VPd3Pt at its relaxed geometry. The functional is PBE.

Structure (POSCAR):
```
VPd3Pt
1.0
-0.515 3.985 -2.729
-0.260 -2.763 -3.986
-4.823 -0.277 0.506
Pt Pd V
1 3 1
Direct
0.000 0.000 0.000
0.000 0.500 0.000
0.000 0.000 0.500
0.500 0.000 0.000
0.500 0.500 0.500
```

Summary:
* energy relative to the lowest polymorph listed for this composition: 1504 meV/atom
* crystal system: cubic

# 9
This record from the Alexandria database describes crystalline VPd4Pt at its relaxed geometry. The functional is PBE.

Structure (POSCAR):
```
VPd4Pt
1.0
2.776 0.000 0.000
0.000 4.798 -0.100
0.000 0.155 6.755
V Pd Pt
1 4 1
Direct
0.500 0.500 0.000
0.000 0.336 0.676
0.500 0.175 0.328
0.500 0.825 0.672
0.000 0.664 0.324
0.000 0.000 0.000
```

Summary:
* energy relative to the lowest polymorph listed for this composition: 0 meV/atom
* crystal system: monoclinic

# 10
This record from the Alexandria database describes crystalline VPdPt3 at its relaxed geometry. The functional is PBE.

Structure (POSCAR):
```
VPdPt3
1.0
4.806 0.000 0.000
0.000 4.806 0.000
0.000 0.000 4.806
Pt Pd V
3 1 1
Direct
0.000 0.500 0.000
0.000 0.000 0.500
0.500 0.000 0.000
0.000 0.000 0.000
0.500 0.500 0.500
```

Summary:
* energy relative to the lowest polymorph listed for this composition: 1684 meV/atom
* crystal system: cubic

# 11
This record from the Alexandria database describes crystalline VPd12Pt3 at its relaxed geometry. The functional is PBE.

Structure (POSCAR):
```
VPd12Pt3
1.0
3.932 0.000 0.000
0.000 3.932 0.000
0.000 0.000 15.751
V Pd Pt
1 12 3
Direct
0.000 0.000 0.000
0.500 0.500 0.000
0.500 0.500 0.246
0.500 0.500 0.500
0.500 0.500 0.754
0.500 0.000 0.118
0.500 0.000 0.374
0.500 0.000 0.626
0.500 0.000 0.882
0.000 0.500 0.118
0.000 0.500 0.374
0.000 0.500 0.626
0.000 0.500 0.882
0.000 0.000 0.249
0.000 0.000 0.500
0.000 0.000 0.751
```

Summary:
* crystal system: tetragonal
* raw total energy: -5.688 eV/atom

# 12
This record from the Alexandria database describes crystalline VPd3Pt12 at its relaxed geometry. The functional is PBE.

Structure (POSCAR):
```
VPd3Pt12
1.0
-2.829 -0.796 -2.626
2.739 -0.600 -2.769
0.640 -15.344 3.959
V Pd Pt
1 3 12
Direct
0.000 0.000 0.000
0.000 0.000 0.247
0.000 0.000 0.500
0.000 0.000 0.753
0.500 0.500 0.000
0.500 0.500 0.247
0.500 0.500 0.500
0.500 0.500 0.753
0.500 0.000 0.119
0.500 0.000 0.374
0.500 0.000 0.626
0.500 0.000 0.881
0.000 0.500 0.119
0.000 0.500 0.374
0.000 0.500 0.626
0.000 0.500 0.881
```

Summary:
* crystal system: tetragonal
* raw total energy: -6.236 eV/atom

# 13
This record from the Alexandria database describes crystalline V2PdPt5 at its relaxed geometry. The functional is PBE.

Structure (POSCAR):
```
V2PdPt5
1.0
-2.219 2.427 2.122
0.943 -3.081 4.509
8.932 6.134 2.325
V Pd Pt
4 2 10
Direct
0.500 0.253 0.626
0.500 0.747 0.374
0.500 0.247 0.126
0.500 0.753 0.874
0.000 0.000 0.500
0.000 0.500 0.000
0.000 0.000 0.000
0.000 0.500 0.500
0.000 0.499 0.750
0.000 0.501 0.250
0.000 0.001 0.250
0.000 0.999 0.750
0.500 0.250 0.875
0.500 0.750 0.125
0.500 0.250 0.375
0.500 0.750 0.625
```

Summary:
* energy relative to the lowest polymorph listed for this composition: 0 meV/atom
* crystal system: orthorhombic

# 14
This record from the Alexandria database describes crystalline VPd2Pt5 at its relaxed geometry. The functional is PBE.

Structure (POSCAR):
```
VPd2Pt5
1.0
-0.542 -3.712 5.654
6.286 -2.371 -0.955
-0.847 7.226 0.591
V Pd Pt
2 4 10
Direct
0.750 0.750 0.500
0.250 0.250 0.500
0.144 0.356 0.000
0.644 0.144 0.000
0.356 0.856 0.000
0.856 0.644 0.000
0.484 0.680 0.664
0.820 0.016 0.336
0.000 0.000 0.000
0.500 0.500 0.000
0.180 0.984 0.664
0.680 0.180 0.664
0.984 0.484 0.664
0.320 0.820 0.336
0.016 0.516 0.336
0.516 0.320 0.336
```

Summary:
* energy relative to the lowest polymorph listed for this composition: 211 meV/atom
* crystal system: tetragonal

# 15
This record from the Alexandria database describes crystalline V9Pd4Pt11 at its relaxed geometry. The functional is PBE.

Structure (POSCAR):
```
V9Pd4Pt11
1.0
-0.088 1.664 2.151
-7.418 -6.975 5.091
8.784 -5.550 4.652
V Pd Pt
9 4 11
Direct
0.500 0.621 0.132
0.500 0.379 0.868
0.500 0.132 0.621
0.500 0.868 0.379
0.500 0.797 0.962
0.500 0.203 0.038
0.500 0.962 0.797
0.500 0.038 0.203
0.500 0.500 0.500
0.500 0.549 0.717
0.500 0.451 0.283
0.500 0.717 0.549
0.500 0.283 0.451
0.000 0.594 0.933
0.000 0.406 0.067
0.000 0.933 0.594
0.000 0.067 0.406
0.000 0.660 0.340
0.000 0.340 0.660
0.000 0.830 0.170
0.000 0.170 0.830
0.000 0.000 0.000
0.000 0.766 0.766
0.000 0.234 0.234
```

Summary:
* crystal system: orthorhombic
* raw total energy: -7.500 eV/atom

# 16
This record from the Alexandria database describes crystalline VPdPt at its relaxed geometry. The functional is PBE.

Structure (POSCAR):
```
VPdPt
1.0
2.715 0.000 0.000
0.000 4.359 0.000
0.000 -2.179 3.775
Pd Pt V
1 1 1
Direct
0.355 0.667 0.333
0.900 0.000 0.000
0.746 0.333 0.667
```

Summary:
* energy relative to the lowest polymorph listed for this composition: 115 meV/atom
* crystal system: trigonal

# 17
This record from the Alexandria database describes crystalline VPd3Pt4 at its relaxed geometry. The functional is PBE.

Structure (POSCAR):
```
VPd3Pt4
1.0
3.799 0.000 -1.026
-0.271 3.794 -1.008
0.205 0.179 8.317
Pt Pd V
4 3 1
Direct
0.381 0.381 0.762
0.619 0.619 0.238
0.119 0.119 0.238
0.881 0.881 0.762
0.000 0.500 0.000
0.752 0.252 0.503
0.248 0.748 0.497
0.500 0.000 0.000
```

Summary:
* energy relative to the lowest polymorph listed for this composition: 0 meV/atom
* crystal system: tetragonal

# 18
This record from the Alexandria database describes crystalline V2Pd7Pt2 at its relaxed geometry. The functional is PBE.

Structure (POSCAR):
```
V2Pd7Pt2
1.0
6.470 -0.267 -0.385
-0.748 5.164 0.592
-0.748 -1.259 5.043
V Pd Pt
2 7 2
Direct
0.811 0.617 0.617
0.189 0.383 0.383
0.162 0.869 0.504
0.838 0.496 0.131
0.838 0.131 0.496
0.162 0.504 0.869
0.000 0.000 0.000
0.558 0.824 0.824
0.442 0.176 0.176
0.500 0.294 0.706
0.500 0.706 0.294
```

Summary:
* crystal system: monoclinic
* raw total energy: -6.237 eV/atom

# 19
This record from the Alexandria database describes crystalline VPd8Pt5 at its relaxed geometry. The functional is PBE.

Structure (POSCAR):
```
VPd8Pt5
1.0
6.649 -0.004 0.007
-2.253 6.256 -0.007
-2.142 -3.165 5.441
V Pd Pt
1 8 5
Direct
0.250 0.500 0.750
0.105 0.769 0.995
0.005 0.110 0.774
0.836 0.220 0.411
0.589 0.425 0.809
0.384 0.575 0.164
0.664 0.890 0.895
0.226 0.231 0.336
0.191 0.780 0.616
0.944 0.412 0.133
0.867 0.810 0.278
0.722 0.588 0.532
0.500 0.000 0.500
0.468 0.190 0.056
```

Summary:
* crystal system: tetragonal
* raw total energy: -5.704 eV/atom

# 20
This record from the Alexandria database describes crystalline VPdPt2 at its relaxed geometry. The functional is PBE.

Structure (POSCAR):
```
VPdPt2
1.0
-1.303 -1.119 4.061
2.819 -1.978 2.753
1.564 2.183 3.497
Pd Pt V
1 2 1
Direct
0.000 0.000 0.000
0.250 0.250 0.250
0.750 0.750 0.750
0.500 0.500 0.500
```

Summary:
* crystal system: cubic
* raw total energy: -6.827 eV/atom

# 21
This record from the Alexandria database describes crystalline VPd2Pt3 at its relaxed geometry. The functional is PBE.

Structure (POSCAR):
```
VPd2Pt3
1.0
3.883 0.000 0.000
0.000 5.550 0.560
0.000 -0.846 8.284
V Pd Pt
2 4 6
Direct
0.250 0.872 0.745
0.750 0.128 0.255
0.250 0.372 0.412
0.750 0.628 0.588
0.750 0.122 0.919
0.250 0.878 0.081
0.750 0.116 0.587
0.250 0.884 0.413
0.750 0.632 0.248
0.250 0.368 0.752
0.250 0.366 0.093
0.750 0.634 0.907
```

Summary:
* energy relative to the lowest polymorph listed for this composition: 0 meV/atom
* crystal system: monoclinic